(1)
DySc3Ru3: optimized geometry, PBE.

Structure (POSCAR):
```
DySc3Ru3
1.0
4.6072 2.6600 1.8235
-4.6072 2.6600 1.8235
0.0000 -5.3199 1.8235
Dy Sc Ru
1 3 3
direct
0.0000 0.0000 0.0000
0.4094 0.4094 0.8254
0.4094 0.8254 0.4094
0.8254 0.4094 0.4094
0.4099 0.9038 0.9038
0.9038 0.4099 0.9038
0.9038 0.9038 0.4099
```

Symmetry: R3m
Calculated total energy (eV per atom): -7.8042
Formation enthalpy at 0 K (meV/atom): -458

***

(2)
Dy2Sc3Ru2: optimized geometry, PBE.

Structure (POSCAR):
```
Dy2Sc3Ru2
1.0
5.5846 -1.9227 0.0000
5.5846 1.9227 0.0000
-3.3621 0.0000 7.3615
Dy Sc Ru
2 3 2
direct
0.1556 0.1556 0.2989
0.8444 0.8444 0.7011
0.3735 0.3735 0.0719
0.5000 0.5000 0.5000
0.6265 0.6265 0.9281
0.1648 0.1648 0.7197
0.8352 0.8352 0.2803
```

Symmetry: C2/m
Calculated total energy (eV per atom): -7.0528
Formation enthalpy at 0 K (meV/atom): -374

***

(3)
Dy2ScRu: optimized geometry, PBE.

Structure (POSCAR):
```
Dy2ScRu
1.0
7.1084 0.0000 0.0000
0.0000 8.9969 0.0000
0.0000 0.0000 6.2108
Dy Sc Ru
8 4 4
direct
0.1792 0.0620 0.1728
0.1792 0.4380 0.1728
0.3208 0.5620 0.6728
0.3208 0.9380 0.6728
0.6792 0.0620 0.3272
0.6792 0.4380 0.3272
0.8208 0.5620 0.8272
0.8208 0.9380 0.8272
0.0435 0.2500 0.6330
0.4565 0.7500 0.1330
0.5435 0.2500 0.8670
0.9565 0.7500 0.3670
0.1168 0.7500 0.9842
0.3832 0.2500 0.4842
0.6168 0.7500 0.5158
0.8832 0.2500 0.0158
```

Symmetry: Pnma
Calculated total energy (eV per atom): -6.5397
Formation enthalpy at 0 K (meV/atom): -337

***

What is the formula in the first record?
DySc3Ru3